meta-GGA SCAN CrSiGe3, PBEsol geometry; volume = 97 Å³ per cell; total DFT energy (no corrections) = -16.4193 eV/atom; ΔE_f (raw) = 3.6 eV per formula unit; mass density = 5.12 g/cm3; symmetry = No. 221
1.0
4.588 0.000 0.000
0.000 4.588 0.000
0.000 0.000 4.588
Si Cr Ge
1 1 3
direct
0.500 0.500 0.500 Si
0.000 0.000 0.000 Cr
0.000 0.000 0.500 Ge
0.500 0.000 0.000 Ge
0.000 0.500 0.000 Ge



meta-GGA SCAN CrSi3Ge, PBEsol geometry; volume = 88 Å³ per cell; total DFT energy (no corrections) = -12.7875 eV/atom; ΔE_f (raw) = 3.6 eV per formula unit; mass density = 3.94 g/cm3; symmetry = No. 221
1.0
-0.868 2.885 -3.272
3.028 -2.004 -2.570
-3.141 -2.729 -1.573
Si Cr Ge
3 1 1
direct
0.000 0.000 0.500 Si
0.500 0.000 0.000 Si
0.000 0.500 0.000 Si
0.000 0.000 0.000 Cr
0.500 0.500 0.500 Ge



meta-GGA SCAN CrSi2Ge2, PBEsol geometry; volume = 85 Å³ per cell; total DFT energy (no corrections) = -14.7530 eV/atom; ΔE_f (raw) = 2.8 eV per formula unit; mass density = 4.97 g/cm3; symmetry = No. 139
1.0
-1.700 -2.959 -0.704
2.991 -1.479 -1.005
0.465 0.027 7.386
Ge Si Cr
2 2 1
direct
0.250 0.750 0.500 Ge
0.750 0.250 0.500 Ge
0.416 0.416 0.832 Si
0.584 0.584 0.168 Si
0.000 0.000 0.000 Cr



meta-GGA SCAN Ta3CrGe, PBEsol geometry; volume = 102 Å³ per cell; ΔE_f = 1.186 eV/atom; total DFT energy (no corrections) = -46.2582 eV/atom; mass density = 10.88 g/cm3; symmetry = No. 221
1.0
4.671 0.000 0.000
0.000 4.671 0.000
0.000 0.000 4.671
Ge Cr Ta
1 1 3
direct
0.000 0.000 0.000 Ge
0.500 0.500 0.500 Cr
0.000 0.000 0.500 Ta
0.000 0.500 0.000 Ta
0.500 0.000 0.000 Ta



meta-GGA SCAN TlCrGe3, PBEsol geometry; volume = 141 Å³ per cell; ΔE_f = 1.294 eV/atom; total DFT energy (no corrections) = -28.3074 eV/atom; mass density = 5.58 g/cm3; symmetry = No. 221
1.0
5.208 0.000 0.000
0.000 5.208 0.000
0.000 0.000 5.208
Tl Ge Cr
1 3 1
direct
0.000 0.000 0.000 Tl
0.500 0.000 0.000 Ge
0.000 0.500 0.000 Ge
0.000 0.000 0.500 Ge
0.500 0.500 0.500 Cr



meta-GGA SCAN TlCr2GeW, PBEsol geometry; volume = 109 Å³ per cell; ΔE_f = 1.009 eV/atom; total DFT energy (no corrections) = -38.5717 eV/atom; mass density = 8.64 g/cm3; symmetry = No. 123
1.0
-3.221 -2.645 2.250
3.472 -2.388 2.162
-0.075 3.189 3.642
Ge Tl W Cr
1 1 1 2
direct
0.000 0.000 0.500 Ge
0.500 0.500 0.500 Tl
0.000 0.000 0.000 W
0.000 0.500 0.000 Cr
0.500 0.000 0.000 Cr



meta-GGA SCAN Y3CrGe, PBEsol geometry; volume = 155 Å³ per cell; ΔE_f = 0.056 eV/atom; total DFT energy (no corrections) = -24.1445 eV/atom; mass density = 4.20 g/cm3; symmetry = No. 221
1.0
-3.753 -1.133 -3.665
0.282 -5.195 1.318
-3.826 0.729 3.692
Y Cr Ge
3 1 1
direct
0.000 0.500 0.000 Y
0.500 0.000 0.000 Y
0.000 0.000 0.500 Y
0.500 0.500 0.500 Cr
0.000 0.000 0.000 Ge



meta-GGA SCAN ZrCrGe3, PBEsol geometry; volume = 131 Å³ per cell; ΔE_f = 0.730 eV/atom; total DFT energy (no corrections) = -20.5398 eV/atom; mass density = 4.59 g/cm3; symmetry = No. 221
1.0
-3.853 1.739 -2.804
-0.480 -4.560 -2.170
-3.264 -1.383 3.629
Cr Ge Zr
1 3 1
direct
0.500 0.500 0.500 Cr
0.000 0.500 0.000 Ge
0.500 0.000 0.000 Ge
0.000 0.000 0.500 Ge
0.000 0.000 0.000 Zr



meta-GGA SCAN ZrCrGe3, PBEsol geometry; volume = 93 Å³ per cell; ΔE_f = 0.346 eV/atom; total DFT energy (no corrections) = -20.9233 eV/atom; mass density = 6.47 g/cm3; symmetry = No. 221
1.0
-0.339 -4.313 1.325
4.347 0.044 1.255
-1.209 1.367 4.140
Zr Ge Cr
1 3 1
direct
0.500 0.500 0.500 Zr
0.000 0.000 0.500 Ge
0.500 0.000 0.000 Ge
0.000 0.500 0.000 Ge
0.000 0.000 0.000 Cr



meta-GGA SCAN HfCrH2, PBEsol geometry; volume = 76 Å³ per cell; total DFT energy (no corrections) = -22.1096 eV/atom; mass density = 10.21 g/cm3; symmetry = No. 122
1.0
3.986 0.000 0.000
0.000 3.986 0.000
-1.993 -1.993 4.761
H Cr Hf
4 2 2
direct
0.125 0.189 0.750 H
0.439 0.875 0.250 H
0.625 0.561 0.750 H
0.811 0.375 0.250 H
0.750 0.250 0.500 Cr
0.500 0.500 0.000 Cr
0.250 0.750 0.500 Hf
0.000 0.000 0.000 Hf



meta-GGA SCAN HfCrH3, PBEsol geometry; volume = 50 Å³ per cell; total DFT energy (no corrections) = -18.1410 eV/atom; mass density = 7.77 g/cm3; symmetry = No. 221
1.0
3.681 0.000 0.000
0.000 3.681 0.000
0.000 0.000 3.681
Hf H Cr
1 3 1
direct
0.000 0.000 0.000 Hf
0.000 0.500 0.000 H
0.500 0.000 0.000 H
0.000 0.000 0.500 H
0.500 0.500 0.500 Cr



meta-GGA SCAN Cr2HgH2, PBEsol geometry; volume = 51 Å³ per cell; total DFT energy (no corrections) = -22.0062 eV/atom; mass density = 10.02 g/cm3; symmetry = No. 139
1.0
3.354 0.000 0.000
0.000 3.354 0.000
-1.677 -1.677 4.515
Hg Cr H
1 2 2
direct
0.000 0.000 0.000 Hg
0.750 0.250 0.500 Cr
0.250 0.750 0.500 Cr
0.665 0.665 0.330 H
0.335 0.335 0.670 H



meta-GGA SCAN CrH3I, PBEsol geometry; volume = 72 Å³ per cell; total DFT energy (no corrections) = -11.8231 eV/atom; mass density = 4.17 g/cm3; symmetry = No. 221
1.0
-0.683 1.535 3.816
3.344 -2.045 1.420
2.394 3.293 -0.896
I H Cr
1 3 1
direct
0.000 0.000 0.000 I
0.000 0.500 0.000 H
0.000 0.000 0.500 H
0.500 0.000 0.000 H
0.500 0.500 0.500 Cr



meta-GGA SCAN CrHIN2, PBEsol geometry; volume = 70 Å³ per cell; total DFT energy (no corrections) = -14.6861 eV/atom; mass density = 4.93 g/cm3; relative energy among the computed polymorphs = 0.0 meV/atom; symmetry = No. 123
1.0
3.560 0.000 0.000
0.000 3.560 0.000
0.000 0.000 5.522
I N Cr H
1 2 1 1
direct
0.000 0.000 0.500 I
0.500 0.000 0.000 N
0.000 0.500 0.000 N
0.000 0.000 0.000 Cr
0.500 0.500 0.500 H



meta-GGA SCAN CrHIN2, PBEsol geometry; volume = 55 Å³ per cell; total DFT energy (no corrections) = -13.4313 eV/atom; mass density = 6.23 g/cm3; relative energy among the computed polymorphs = 1254.8 meV/atom; symmetry = No. 123
1.0
3.405 0.000 0.000
0.000 4.035 0.000
0.000 0.000 4.035
N I H Cr
2 1 1 1
direct
0.000 0.500 0.000 N
0.000 0.000 0.500 N
0.500 0.000 0.000 I
0.000 0.000 0.000 H
0.500 0.500 0.500 Cr



meta-GGA SCAN CrH18I7N6, PBEsol geometry; volume = 490 Å³ per cell; total DFT energy (no corrections) = -12.7744 eV/atom; mass density = 3.54 g/cm3; symmetry = No. 12
1.0
7.748 0.000 0.000
3.874 7.897 0.178
3.874 2.681 8.063
H N I Cr
18 6 7 1
direct
0.757 0.682 0.357 H
0.284 0.332 0.797 H
0.768 0.183 0.493 H
0.243 0.318 0.643 H
0.324 0.495 0.313 H
0.676 0.505 0.687 H
0.444 0.817 0.507 H
0.868 0.495 0.313 H
0.303 0.712 0.681 H
0.412 0.668 0.203 H
0.556 0.183 0.493 H
0.132 0.505 0.687 H
0.588 0.332 0.797 H
0.716 0.668 0.203 H
0.232 0.817 0.507 H
0.697 0.288 0.319 H
0.796 0.318 0.643 H
0.204 0.682 0.357 H
0.347 0.597 0.323 N
0.355 0.736 0.553 N
0.645 0.264 0.447 N
0.653 0.403 0.677 N
0.732 0.597 0.323 N
0.268 0.403 0.677 N
0.000 0.000 0.000 I
0.813 0.366 0.008 I
0.832 0.786 0.550 I
0.396 0.082 0.125 I
0.168 0.214 0.450 I
0.604 0.918 0.875 I
0.187 0.634 0.992 I
0.500 0.500 0.500 Cr



meta-GGA SCAN NbCrHI2, PBEsol geometry; volume = 93 Å³ per cell; total DFT energy (no corrections) = -25.1981 eV/atom; mass density = 7.16 g/cm3; symmetry = No. 123
1.0
3.631 0.000 0.000
0.000 5.051 0.000
0.000 0.000 5.051
I Nb Cr H
2 1 1 1
direct
0.000 0.500 0.000 I
0.000 0.000 0.500 I
0.500 0.000 0.000 Nb
0.500 0.500 0.500 Cr
0.000 0.000 0.000 H



meta-GGA SCAN CrInH3, PBEsol geometry; volume = 42 Å³ per cell; total DFT energy (no corrections) = -12.1485 eV/atom; mass density = 6.72 g/cm3; symmetry = No. 221
1.0
-3.206 -0.192 1.326
0.922 -2.810 1.824
0.971 2.035 2.643
H In Cr
3 1 1
direct
0.500 0.000 0.000 H
0.000 0.000 0.500 H
0.000 0.500 0.000 H
0.500 0.500 0.500 In
0.000 0.000 0.000 Cr



meta-GGA SCAN Cr3HIr, PBEsol geometry; volume = 50 Å³ per cell; total DFT energy (no corrections) = -26.0030 eV/atom; mass density = 11.66 g/cm3; symmetry = No. 221
1.0
3.677 0.000 0.000
0.000 3.677 0.000
0.000 0.000 3.677
Cr Ir H
3 1 1
direct
0.500 0.000 0.000 Cr
0.000 0.000 0.500 Cr
0.000 0.500 0.000 Cr
0.500 0.500 0.500 Ir
0.000 0.000 0.000 H



meta-GGA SCAN Cr2HIr2, PBEsol geometry; volume = 60 Å³ per cell; total DFT energy (no corrections) = -35.7408 eV/atom; mass density = 13.46 g/cm3; symmetry = No. 139
1.0
-2.740 -1.248 -0.216
0.238 -0.001 -3.009
3.983 -5.411 1.831
H Cr Ir
1 2 2
direct
0.000 0.000 0.000 H
0.750 0.250 0.500 Cr
0.250 0.750 0.500 Cr
0.596 0.596 0.193 Ir
0.404 0.404 0.807 Ir



meta-GGA SCAN CrSnH2Ir, PBEsol geometry; volume = 73 Å³ per cell; total DFT energy (no corrections) = -25.8771 eV/atom; mass density = 8.34 g/cm3; symmetry = No. 123
1.0
3.584 0.000 0.000
0.000 3.584 0.000
0.000 0.000 5.661
H Ir Sn Cr
2 1 1 1
direct
0.500 0.000 0.000 H
0.000 0.500 0.000 H
0.500 0.500 0.500 Ir
0.000 0.000 0.500 Sn
0.000 0.000 0.000 Cr



meta-GGA SCAN KCr2H, PBEsol geometry; volume = 153 Å³ per cell; total DFT energy (no corrections) = -11.4900 eV/atom; mass density = 3.12 g/cm3; symmetry = No. 227
1.0
-0.170 -4.300 4.192
3.204 -5.030 -0.725
4.810 -1.022 3.452
H Cr K
2 4 2
direct
0.500 0.500 0.500 H
0.750 0.750 0.750 H
0.625 0.125 0.625 Cr
0.125 0.625 0.625 Cr
0.625 0.625 0.625 Cr
0.625 0.625 0.125 Cr
0.250 0.250 0.250 K
0.000 0.000 0.000 K



meta-GGA SCAN KCrH2, PBEsol geometry; volume = 57 Å³ per cell; total DFT energy (no corrections) = -7.8211 eV/atom; mass density = 2.70 g/cm3; symmetry = No. 225
1.0
4.327 0.000 0.000
2.164 3.747 0.000
2.164 1.249 3.533
K Cr H
1 1 2
direct
0.000 0.000 0.000 K
0.500 0.500 0.500 Cr
0.750 0.750 0.750 H
0.250 0.250 0.250 H



meta-GGA SCAN K3CrH6O6, PBEsol geometry; volume = 354 Å³ per cell; total DFT energy (no corrections) = -7.8967 eV/atom; mass density = 2.55 g/cm3; symmetry = No. 167
1.0
-5.708 0.256 -4.248
-3.489 -2.045 5.860
0.117 6.947 1.556
K Cr O H
6 2 12 12
direct
0.128 0.372 0.750 K
0.750 0.128 0.372 K
0.372 0.750 0.128 K
0.250 0.872 0.628 K
0.872 0.628 0.250 K
0.628 0.250 0.872 K
0.000 0.000 0.000 Cr
0.500 0.500 0.500 Cr
0.236 0.539 0.399 O
0.039 0.736 0.899 O
0.399 0.236 0.539 O
0.539 0.399 0.236 O
0.961 0.264 0.101 O
0.736 0.899 0.039 O
0.601 0.764 0.461 O
0.764 0.461 0.601 O
0.461 0.601 0.764 O
0.264 0.101 0.961 O
0.899 0.039 0.736 O
0.101 0.961 0.264 O
0.334 0.121 0.089 H
0.166 0.411 0.379 H
0.879 0.911 0.666 H
0.589 0.621 0.834 H
0.621 0.834 0.589 H
0.121 0.089 0.334 H
0.911 0.666 0.879 H
0.379 0.166 0.411 H
0.834 0.589 0.621 H
0.666 0.879 0.911 H
0.089 0.334 0.121 H
0.411 0.379 0.166 H